[1]
An optimized crystal structure of VO2F. Source: the Alexandria database, functional GGA-PBEsol.

Values from the calculation:
Density: 3.08 Mg/m³
Formation energy without anion corrections: -2407 meV per atom
Electronic total energy: -7.922 eV/atom

Cell: 6.5470 5.2243 6.4229 Å, 90.00 90.13 90.00°
Closest atoms and distances in Å follow each position.
Space group P2_1/c (No. 14)
One atom of each set of equivalent atoms:
V  0.2046  0.1269  0.2503 [4 per cell]  3 O 1.62-1.77, 1 F 1.75
O  0.0076  0.0308  0.7503 [4 per cell]  1 V 1.62
O  0.2621  0.2494  0.5006 [4 per cell]  2 V 1.77
F  0.3816  0.6238  0.7501 [4 per cell]  1 V 1.75


[2]
An optimized crystal structure of TaHRh2. Source: the Alexandria database, functional GGA-PBEsol.

Values from the calculation:
Density: 12.52 Mg/m³
Electronic total energy: -7.996 eV/atom

Cell: 5.9027 5.9027 5.9027 Å, 90.00 90.00 90.00°
Closest atoms and distances in Å follow each position.
Space group Fm-3m (No. 225)
One atom of each set of equivalent atoms:
Ta  0.0000  0.0000  0.0000 [4 per cell]  8 Rh 2.56
H  0.0000  0.0000  0.5000 [4 per cell]  8 Rh 2.56
Rh  0.2500  0.2500  0.2500 [8 per cell]  4 Ta 2.56, 4 H 2.56


[3]
An optimized crystal structure of Cr2InP. Source: the Alexandria database, functional GGA-PBEsol.

Values from the calculation:
Density: 7.37 Mg/m³
Formation energy: 39.55 kJ/mol of atoms
Electronic total energy: -6.905 eV/atom

Cell: 5.9320 5.9447 3.1909 Å, 90.00 90.00 90.00°
Closest atoms and distances in Å follow each position.
Space group Cmmm (No. 65)
One atom of each set of equivalent atoms:
Cr  0.2500  0.2500  0.0000 [4 per cell]  4 In 2.64, 4 P 2.64
In  0.0000  0.0000  0.5000 [2 per cell]  8 Cr 2.64
P  0.0000  0.5000  0.5000 [2 per cell]  8 Cr 2.64


[4]
An optimized crystal structure of BaGeSb2Te. Source: the Alexandria database, functional GGA-PBEsol.

Values from the calculation:
Density: 6.00 Mg/m³
Formation energy without anion corrections: -203 meV per atom
Electronic total energy: -4.149 eV/atom

Cell: 5.3547 5.3547 5.6125 Å, 90.00 90.00 90.00°
Closest atoms and distances in Å follow each position.
Space group P4/mmm (No. 123)
One atom of each set of equivalent atoms:
Ba  0.0000  0.0000  0.0000 [1 per cell]  4 Te 3.79, 8 Sb 3.88
Ge  0.5000  0.5000  0.5000 [1 per cell]  4 Sb 2.68, 2 Te 2.81
Sb  0.0000  0.5000  0.5000 [2 per cell]  2 Ge 2.68
Te  0.5000  0.5000  0.0000 [1 per cell]  2 Ge 2.81


[5]
An optimized crystal structure of CaSnBi3. Source: the Alexandria database, functional GGA-PBEsol.

Values from the calculation:
Density: 7.07 Mg/m³
Formation energy: 53.31 kJ/mol of atoms
Electronic total energy: -3.297 eV/atom

Cell: 5.6922 5.6922 5.6922 Å, 90.00 90.00 90.00°
Closest atoms and distances in Å follow each position.
Space group Pm-3m (No. 221)
One atom of each set of equivalent atoms:
Ca  0.0000  0.0000  0.0000 [1 per cell]  6 Bi 2.85
Sn  0.5000  0.5000  0.5000 [1 per cell]  12 Bi 4.03
Bi  0.0000  0.0000  0.5000 [3 per cell]  2 Ca 2.85


[6]
An optimized crystal structure of SiSb2TePb. Source: the Alexandria database, functional GGA-PBEsol.

Values from the calculation:
Density: 5.60 Mg/m³
Formation energy without anion corrections: 1260 meV per atom
Electronic total energy: -3.217 eV/atom

Cell: 5.5986 5.5986 5.7392 Å, 90.00 90.00 90.00°
Closest atoms and distances in Å follow each position.
Space group P4/mmm (No. 123)
One atom of each set of equivalent atoms:
Si  0.0000  0.0000  0.0000 [1 per cell]  4 Te 3.96, 8 Sb 4.01
Sb  0.0000  0.5000  0.5000 [2 per cell]  2 Pb 2.80
Te  0.5000  0.5000  0.0000 [1 per cell]  2 Pb 2.87
Pb  0.5000  0.5000  0.5000 [1 per cell]  4 Sb 2.80, 2 Te 2.87


[7]
An optimized crystal structure of AsPRu2. Source: the Alexandria database, functional GGA-PBEsol.

Values from the calculation:
Density: 9.47 Mg/m³
Formation energy: -18.20 kJ/mol of atoms
Electronic total energy: -7.999 eV/atom

Cell: 7.6039 2.8878 5.0491 Å, 90.00 102.97 90.00°
Closest atoms and distances in Å follow each position.
Space group C2/m (No. 12)
One atom of each set of equivalent atoms:
As  0.0000  0.0000  0.0000 [2 per cell]  6 Ru 2.52-2.55
P  0.0000  0.5000  0.5000 [2 per cell]  6 Ru 2.44-2.50
Ru  0.2442  0.0000  0.7360 [4 per cell]  3 P 2.44-2.50, 3 As 2.52-2.55


[8]
An optimized crystal structure of ScPt2Br. Source: the Alexandria database, functional GGA-PBEsol.

Values from the calculation:
Density: 12.29 Mg/m³
Formation energy without anion corrections: -348 meV per atom
Electronic total energy: -5.948 eV/atom

Cell: 6.5295 6.5295 6.5295 Å, 90.00 90.00 90.00°
Closest atoms and distances in Å follow each position.
Space group F-43m (No. 216)
One atom of each set of equivalent atoms:
Sc  0.0000  0.0000  0.0000 [4 per cell]  4 Br 2.83, 4 Pt 2.83
Pt  0.0000  0.0000  0.5000 [4 per cell]  4 Pt 2.83, 4 Br 2.83
Pt  0.2500  0.2500  0.7500 [4 per cell]  4 Sc 2.83, 4 Pt 2.83
Br  0.2500  0.2500  0.2500 [4 per cell]  4 Pt 2.83, 4 Sc 2.83


[9]
An optimized crystal structure of TlRe2Cl. Source: the Alexandria database, functional GGA-PBEsol.

Values from the calculation:
Density: 15.62 Mg/m³
Formation energy without anion corrections: 1585 meV per atom
Electronic total energy: -6.240 eV/atom

Cell: 6.3847 6.3847 6.3847 Å, 90.00 90.00 90.00°
Closest atoms and distances in Å follow each position.
Space group Fm-3m (No. 225)
One atom of each set of equivalent atoms:
Tl  0.0000  0.0000  0.0000 [4 per cell]  8 Re 2.76
Re  0.2500  0.2500  0.2500 [8 per cell]  4 Tl 2.76, 4 Cl 2.76
Cl  0.0000  0.0000  0.5000 [4 per cell]  8 Re 2.76


[10]
An optimized crystal structure of KBaCr. Source: the Alexandria database, functional GGA-PBEsol.

Values from the calculation:
Density: 3.09 Mg/m³
Formation energy: 92.95 kJ/mol of atoms
Electronic total energy: -3.545 eV/atom

Cell: 5.8889 5.8889 4.0823 Å, 90.00 90.00 120.00°
Closest atoms and distances in Å follow each position.
Space group P3m1 (No. 156)
One atom of each set of equivalent atoms:
K  0.0000  0.0000  0.0000 [1 per cell]  3 Cr 3.50, 3 Ba 3.78
Ba  0.3333  0.6667  0.4039 [1 per cell]  6 Cr 3.76-4.21, 6 K 3.78-4.18, 2 Ba 4.08
Cr  0.6667  0.3333  0.7972 [1 per cell]  3 K 3.50, 3 Ba 3.76


[11]
An optimized crystal structure of La3InCoS7. Source: the Alexandria database, functional GGA-PBEsol.

Values from the calculation:
Density: 5.08 Mg/m³
Formation energy without anion corrections: -1540 meV per atom
Electronic total energy: -6.328 eV/atom

Cell: 9.9261 9.9261 6.2378 Å, 90.00 90.00 120.00°
Closest atoms and distances in Å follow each position.
Space group P6_3 (No. 173)
One atom of each set of equivalent atoms:
La  0.1572  0.7862  0.0000 [6 per cell]  7 S 2.82-3.08
In  0.3333  0.6667  0.4255 [2 per cell]  4 S 2.39-2.45
Co  0.0000  0.0000  0.3412 [2 per cell]  6 S 2.39
S  0.0743  0.5153  0.2651 [6 per cell]  1 In 2.45
S  0.0899  0.8804  0.5912 [6 per cell]  2 Co 2.39
S  0.3333  0.6667  0.8084 [2 per cell]  1 In 2.39


[12]
An optimized crystal structure of CaZrRh2. Source: the Alexandria database, functional GGA-PBEsol.

Values from the calculation:
Density: 7.66 Mg/m³
Formation energy: -62.26 kJ/mol of atoms
Electronic total energy: -7.520 eV/atom

Cell: 3.2262 3.2262 7.0213 Å, 90.00 90.00 90.00°
Closest atoms and distances in Å follow each position.
Space group P4/mmm (No. 123)
One atom of each set of equivalent atoms:
Ca  0.0000  0.0000  0.0000 [1 per cell]  8 Rh 3.03, 4 Ca 3.23
Zr  0.0000  0.0000  0.5000 [1 per cell]  8 Rh 2.74
Rh  0.5000  0.5000  0.2844 [2 per cell]  4 Zr 2.74, 1 Rh 3.03, 4 Ca 3.03